A) Zn5Ga4Ag | PBE-GGA | optimized geometry

Computed properties:
The calculated volume is 17.50 Å³ per atom.

Cell lengths 8.2413, 9.2428, 4.5940 Å; angles 90.00, 90.00, 90.00 degrees
Space group Pmmn (No. 59, origin choice 2)
One atom of each set of equivalent atoms:
1 Zn 0.0800 0.0127 0.2503
2 Zn 0.2500 0.2500 0.1270
3 Ga 0.0796 0.2500 0.6369
4 Ga 0.2500 0.5835 0.7635
5 Ag 0.2500 0.7500 0.2583

***

B) Zn5Ga4Ag | PBE-GGA | optimized geometry

Computed properties:
The calculated volume is 16.92 Å³ per atom.

Cell lengths 3.0812, 3.0812, 61.7470 Å; angles 90.00, 90.00, 120.00 degrees
Space group R-3m (No. 166, hexagonal axes)
One atom of each set of equivalent atoms:
1 Zn 0.0000 0.0000 0.0000
2 Zn 0.0000 0.0000 0.2009
3 Zn 0.0000 0.0000 0.3987
4 Ga 0.0000 0.0000 0.0987
5 Ga 0.0000 0.0000 0.3005
6 Ag 0.0000 0.0000 0.5000

***

Which of them is least stable? Easy: A).

***

A) Zn3GaAg6 | PBE-GGA | optimized geometry

Computed properties:
The calculated volume is 17.52 Å³ per atom.

Cell lengths 7.2870, 6.5138, 10.3340 Å; angles 90.00, 134.42, 90.00 degrees
Space group P2_1/c (No. 14)
One atom of each set of equivalent atoms:
1 Zn 0.0000 0.0000 0.0000
2 Zn 0.2994 0.1999 0.7459
3 Ga 0.5000 0.0000 0.5000
4 Ag 0.0523 0.6431 0.2486
5 Ag 0.2173 0.6370 0.0581
6 Ag 0.3990 0.1307 0.0573

***

B) Zn3GaAg6 | PBE-GGA | optimized geometry

Computed properties:
The calculated volume is 17.06 Å³ per atom.

Cell lengths 10.5027, 2.8711, 11.5511 Å; angles 90.00, 101.62, 90.00 degrees
Space group P2_1/m (No. 11)
One atom of each set of equivalent atoms:
1 Zn 0.0793 0.2500 0.0884
2 Zn 0.3672 0.7500 0.4957
3 Zn 0.4213 0.2500 0.8984
4 Ga 0.0408 0.2500 0.7159
5 Ag 0.1221 0.2500 0.4768
6 Ag 0.1885 0.7500 0.9192
7 Ag 0.2146 0.7500 0.2798
8 Ag 0.2639 0.7500 0.6936
9 Ag 0.3520 0.2500 0.1144
10 Ag 0.4954 0.7500 0.3168

***

Which of them is least stable? Easy: A).

***

A) ZnGa2Ag8 | PBE-GGA | optimized geometry

Computed properties:
The calculated volume is 17.32 Å³ per atom.

Cell lengths 14.8105, 4.1351, 6.4852 Å; angles 90.00, 106.34, 90.00 degrees
Space group C2/m (No. 12)
One atom of each set of equivalent atoms:
1 Zn 0.0000 0.0000 0.0000
2 Ga 0.2228 0.5000 0.6427
3 Ag 0.0450 0.5000 0.7350
4 Ag 0.0930 0.0000 0.4543
5 Ag 0.1405 0.5000 0.1955
6 Ag 0.1801 0.0000 0.9192

***

B) ZnGa2Ag8 | PBE-GGA | optimized geometry

Computed properties:
The calculated volume is 19.77 Å³ per atom.

Cell lengths 10.2828, 9.2276, 4.7747 Å; angles 90.00, 106.26, 90.00 degrees
Space group C2/m (No. 12)
One atom of each set of equivalent atoms:
1 Zn 0.0000 0.0000 0.0000
2 Ga 0.1456 0.0000 0.5384
3 Ag 0.0777 0.5000 0.2966
4 Ag 0.0883 0.2444 0.8016
5 Ag 0.2351 0.5000 0.8917

***

Which of them is least stable? Easy: B).